No. 1
The following is a PBE calculation of a relaxed ScHgAs crystal, from the Open Quantum Materials Database.

Calculated values
E ... -4.001 eV per atom
Distance to the lowest polymorph of the same formula ... 0.68 eV/f.u.

Cell lengths 4.657, 4.657, 4.657 Å; angles 60.00, 60.00, 60.00 degrees
Fractional positions:
1 Sc 0.750 0.750 0.750
2 As 0.000 0.000 0.000
3 Hg 0.250 0.250 0.250

***

No. 2
The following is a PBE calculation of a relaxed Y2Te2Au crystal, from the Open Quantum Materials Database.

Calculated values
E ... -5.197 eV per atom

Cell lengths 5.422, 5.422, 6.842 Å; angles 113.34, 113.34, 90.00 degrees
Fractional positions:
1 Y 0.250 0.750 0.500
2 Au 0.000 0.000 0.000
3 Te 0.355 0.355 0.709
4 Te 0.645 0.645 0.291
5 Y 0.750 0.250 0.500

***

No. 3
The following is a PBE calculation of a relaxed RbNp2S6 crystal, from the Open Quantum Materials Database.

Calculated values
E ... -6.885 eV per atom

Cell lengths 3.993, 5.412, 10.964 Å; angles 104.25, 100.49, 90.00 degrees
Fractional positions:
1 S 0.779 0.779 0.558
2 S 0.390 0.584 0.781
3 Np 0.189 0.689 0.378
4 Rb 0.999 0.999 0.999
5 S 0.608 0.414 0.216
6 S 0.220 0.219 0.440
7 S 0.391 0.199 0.782
8 Np 0.808 0.308 0.617
9 S 0.607 0.800 0.215

***

No. 4
The following is a PBE calculation of a relaxed DyLu2P3 crystal, from the Open Quantum Materials Database.

Calculated values
E ... -6.573 eV per atom

Cell lengths 3.947, 3.947, 9.655 Å; angles 90.00, 90.00, 120.00 degrees
Fractional positions:
1 Lu 0.333 0.667 0.835
2 P 0.667 0.333 0.672
3 P 0.000 0.000 0.000
4 P 0.333 0.667 0.328
5 Lu 0.667 0.333 0.165
6 Dy 0.000 0.000 0.500

***

Number 1: size of the total moment 0.04 μB per formula unit. Number 2: size of the total moment 0.00 μB per formula unit. Number 3: size of the total moment 6.98 μB per formula unit. Number 4: size of the total moment 0.02 μB per formula unit.